(1)
This record from the Alexandria database describes Tm2FeF8 after structural relaxation. The functional is PBE with a Hubbard U.

Properties
calculated total energy: -138.87 eV/cell

Lattice parameters (Å, degrees): 13.8248 3.4493 5.7627 90.00 104.15 90.00
Closest atoms and distances in Å follow each position.
Space group C2/m (No. 12)
Symmetry-distinct sites (fractional):
Tm: 0.1800 0.0000 0.2004 (multiplicity 4)  9 F 2.19-2.36
Fe: 0.0000 0.5000 0.5000 (multiplicity 2)  4 F 2.11
F: 0.0337 0.0000 0.3228 (multiplicity 4)  2 Fe 2.11, 1 Tm 2.30
F: 0.0996 0.5000 0.0145 (multiplicity 4)  2 Tm 2.19
F: 0.1769 0.5000 0.4782 (multiplicity 4)  3 Tm 2.36, 1 Fe 2.48, 5 F 2.61-2.62
F: 0.2126 0.0000 0.8362 (multiplicity 4)  3 Tm 2.25-2.32

(2)
This record from the Alexandria database describes V2FeF after structural relaxation. The functional is PBE with a Hubbard U.

Properties
offset from the most stable computed form: 0.000 eV per atom

Lattice parameters (Å, degrees): 6.5347 6.5347 6.6011 90.00 90.00 90.00
Closest atoms and distances in Å follow each position.
Space group I-42d (No. 122)
Symmetry-distinct sites (fractional):
V: 0.1696 0.2500 0.1250 (multiplicity 8)  2 F 2.14
Fe: 0.0000 0.0000 0.5000 (multiplicity 4)  8 V 2.83-3.17
F: 0.0000 0.0000 0.0000 (multiplicity 4)  4 V 2.14